The following is a meta-GGA SCAN calculation of a crystal of Li6Ti7Cr5O24 relaxed with PBEsol, from Alexandria.

- ΔE_f (raw): -281.58 kJ per mole of atoms

CIF file:
```
data_Li6Ti7Cr5O24
_chemical_formula_sum 'Li6 Ti7 Cr5 O24'
_symmetry_space_group_name_H-M 'P -1'
_symmetry_Int_Tables_number 2
_cell_length_a 5.847
_cell_length_b 5.875
_cell_length_c 13.035
_cell_angle_alpha 102.97
_cell_angle_beta 102.66
_cell_angle_gamma 90.39
loop_
_symmetry_equiv_pos_as_xyz
'x,y,z'
'-x,-y,-z'
loop_
_atom_site_label
_atom_site_fract_x
_atom_site_fract_y
_atom_site_fract_z
Li1 0.039 0.293 0.083
Li2 0.290 0.042 0.583
Li3 0.374 0.625 0.751
Ti1 0.167 0.176 0.835
Ti2 0.169 0.170 0.335
Ti3 0.176 0.669 0.338
Ti4 0.500 0.000 0.000
Cr1 0.000 0.500 0.500
Cr2 0.333 0.837 0.167
Cr3 0.500 0.500 0.000
Cr4 0.500 0.500 0.500
O1 0.053 0.580 0.660
O2 0.061 0.089 0.673
O3 0.086 0.064 0.175
O4 0.086 0.611 0.176
O5 0.245 0.271 0.493
O6 0.248 0.722 0.494
O7 0.268 0.244 0.993
O8 0.280 0.754 0.009
O9 0.391 0.916 0.328
O10 0.399 0.421 0.340
O11 0.416 0.945 0.841
O12 0.423 0.395 0.841
```